[1]
VASP calculation (PBE-GGA) on a relaxed structure of Nb2BiRu.

Structure (extended XYZ):
```
8
Lattice="-1.983 1.983 10.144 1.983 -1.983 10.144 1.983 1.983 -10.144" Properties=species:S:1:pos:R:3 pbc="T T T"
Nb 2.974 0.990 -2.536
Nb 0.990 0.991 2.536
Nb -0.991 0.993 7.608
Nb 0.993 0.991 12.680
Bi 0.000 0.000 0.000
Bi 0.000 1.983 5.072
Ru 1.983 0.000 5.072
Ru 0.000 0.000 10.144
```

Properties
Excess energy over the best structure of this formula in the dataset, kJ per mole of atoms: 22.9
Space-group type: No. 122
Electronic total energy, eV/atom: -7.704

---

[2]
VASP calculation (PBE-GGA) on a relaxed structure of GdTiSb2.

Structure (extended XYZ):
```
4
Lattice="2.086 1.204 6.887 -2.086 1.204 6.887 0.000 -2.408 6.887" Properties=species:S:1:pos:R:3 pbc="T T T"
Gd 0.000 0.000 0.000
Ti 0.000 0.000 10.330
Sb 0.000 0.000 4.950
Sb 0.000 0.000 15.710
```

Properties
ΔE_f (raw), meV per atom: -725.4
Space-group type: No. 166
Electronic total energy, eV/atom: -8.281